Entry 1:
Entry from Alexandria: a geometry-optimized K2BaRuO4 structure (PBE).

Lattice parameters (Å, degrees): 5.768 5.768 5.768 102.44 113.10 113.10
Each line ends with the local moment (μB).
Fractional coordinates of all 8 atoms:
K 0.000 0.000 0.000  0.00
K 0.500 0.750 0.250  0.00
Ru 0.000 0.500 0.500  1.29
O 0.000 0.288 0.712  0.13
O 0.576 0.288 0.288  0.13
O 0.000 0.712 0.288  0.13
O 0.424 0.712 0.712  0.13
Ba 0.500 0.250 0.750  0.01

**Electronic total energy**: -0.2094 hartree per atom
**Density**: 4.3 Mg/m³
**Total magnetization**: 0.250 μB per atom

---

Entry 2:
Entry from Alexandria: a geometry-optimized KBa4Ru3O12 structure (PBE).

Lattice parameters (Å, degrees): 7.269 7.269 7.269 109.47 109.47 109.47
Each line ends with the local moment (μB).
Fractional coordinates of all 20 atoms:
O 0.720 0.000 0.720  0.10
O 0.280 0.000 0.280  0.10
O 0.750 0.250 0.500  -0.01
O 0.750 0.500 0.250  -0.01
O 0.250 0.750 0.500  -0.01
O 0.280 0.280 0.000  0.10
O 0.000 0.280 0.280  0.10
O 0.720 0.720 0.000  0.10
O 0.500 0.750 0.250  -0.01
O 0.250 0.500 0.750  -0.01
O 0.500 0.250 0.750  -0.01
O 0.000 0.720 0.720  0.10
Ru 0.000 0.500 0.500  0.67
Ru 0.500 0.500 0.000  0.67
Ru 0.500 0.000 0.500  0.67
K 0.000 0.000 0.000  0.00
Ba 0.000 0.500 0.000  0.01
Ba 0.500 0.500 0.500  0.01
Ba 0.000 0.000 0.500  0.01
Ba 0.500 0.000 0.000  0.01

**Electronic total energy**: -0.2376 hartree per atom
**Density**: 6.1 Mg/m³
**Total magnetization**: 0.145 μB per atom

---

Number 1: formation energy without anion corrections -12.4 eV/f.u.. Number 2: formation energy without anion corrections -33.2 eV/f.u..